# 1
GGA-PBE GdPdO3, optimized geometry; crystal system = tetragonal; space group = No. 140; uncorrected energy = -33.49 eV per formula unit; calculated density = 8.559 g/cm³
1.0
4.9858 2.4023 0.8712
-1.6964 2.4810 4.7282
-0.5128 -5.5248 -0.7758
Gd O Pd
2 6 2
Direct
0.7500 0.2500 0.5000 Gd
0.2500 0.7500 0.5000 Gd
0.2500 0.2500 0.0000 O
0.7500 0.7500 0.0000 O
0.8360 0.3360 0.1719 O
0.3360 0.1640 0.5000 O
0.6640 0.8360 0.5000 O
0.1640 0.6640 0.8281 O
0.0000 0.0000 0.0000 Pd
0.5000 0.5000 0.0000 Pd

=====

# 2
GGA-PBE PrBi2, optimized geometry; crystal system = tetragonal; space group = No. 139; uncorrected energy = -13.93 eV per formula unit; calculated density = 9.549 g/cm³
1.0
1.2724 -0.3153 3.3662
2.6820 -2.0959 -1.2101
2.2666 7.2362 -2.1173
Bi Pr
2 1
Direct
0.6565 0.6565 0.3131 Bi
0.3435 0.3435 0.6869 Bi
0.0000 0.0000 0.0000 Pr

=====

# 3
GGA-PBE RbTbTe3As, optimized geometry; crystal system = orthorhombic; space group = No. 63; uncorrected energy = -23.99 eV per formula unit; calculated density = 5.297 g/cm³
1.0
2.2523 -8.7492 0.0000
2.2523 8.7492 0.0000
0.0000 0.0000 11.1690
As Rb Tb Te
2 2 2 6
Direct
0.5381 0.4619 0.2500 As
0.4619 0.5381 0.7500 As
0.2381 0.7619 0.2500 Rb
0.7619 0.2381 0.7500 Rb
0.0000 0.0000 0.0000 Tb
0.0000 0.0000 0.5000 Tb
0.6223 0.3777 0.0437 Te
0.9103 0.0897 0.2500 Te
0.6223 0.3777 0.4563 Te
0.3777 0.6223 0.5437 Te
0.0897 0.9103 0.7500 Te
0.3777 0.6223 0.9563 Te

=====

# 4
GGA-PBE PaCl, optimized geometry; crystal system = hexagonal; space group = No. 186; uncorrected energy = -12.78 eV per formula unit; calculated density = 9.399 g/cm³
1.0
-1.4355 1.7509 -2.4116
0.0525 -3.3036 -0.1611
-8.6496 -0.3752 4.8764
Cl Pa
2 2
Direct
0.0000 0.0000 0.0465 Cl
0.3333 0.6667 0.5465 Cl
0.0000 0.0000 0.3285 Pa
0.3333 0.6667 0.8285 Pa

=====

# 5
GGA-PBE LuTlFeCu, optimized geometry; crystal system = cubic; space group = No. 216; ΔE to the lowest computed polymorph = 0.0440 eV per atom; calculated density = 11.234 g/cm³
1.0
0.0000 3.3280 3.3280
3.3280 0.0000 3.3280
3.3280 3.3280 0.0000
Cu Fe Lu Tl
1 1 1 1
Direct
0.5000 0.5000 0.5000 Cu
0.7500 0.7500 0.7500 Fe
0.2500 0.2500 0.2500 Lu
0.0000 0.0000 0.0000 Tl

=====

# 6
GGA-PBE SmLuGa, optimized geometry; crystal system = cubic; space group = No. 216; ΔE to the lowest computed polymorph = 0.0000 eV per atom; calculated density = 7.629 g/cm³
1.0
0.0000 3.5032 3.5032
3.5032 0.0000 3.5032
3.5032 3.5032 0.0000
Ga Lu Sm
1 1 1
Direct
0.0000 0.0000 0.0000 Ga
0.2500 0.2500 0.2500 Lu
0.7500 0.7500 0.7500 Sm

=====

# 7
GGA-PBE PrF3, optimized geometry; crystal system = trigonal; space group = No. 150; uncorrected energy = -25.78 eV per formula unit; calculated density = 5.227 g/cm³
1.0
5.1720 0.0000 0.0000
-2.5860 4.4791 0.0000
0.0000 0.0000 8.1424
F Pr
9 3
Direct
0.3238 0.3597 0.1716 F
0.0359 0.6762 0.1716 F
0.6403 0.9641 0.1716 F
0.3020 0.0000 0.5000 F
0.0000 0.3020 0.5000 F
0.6980 0.6980 0.5000 F
0.6762 0.0359 0.8284 F
0.3597 0.3238 0.8284 F
0.9641 0.6403 0.8284 F
0.0000 0.0000 0.0000 Pr
0.6667 0.3333 0.3341 Pr
0.3333 0.6667 0.6659 Pr

=====

# 8
GGA-PBE Zr3Ag, optimized geometry; crystal system = hexagonal; space group = No. 194; energy relative to the elements = 0.0643 eV/atom; calculated density = 7.380 g/cm³
1.0
5.3974 -3.1162 0.0000
0.0000 6.2324 0.0000
0.0000 0.0000 5.1040
Ag Zr
2 6
Direct
0.0000 0.0000 0.0000 Ag
0.3333 0.6667 0.5000 Ag
0.4966 0.5034 0.0000 Zr
0.0067 0.5034 0.0000 Zr
0.4966 0.9933 0.0000 Zr
0.8367 0.1633 0.5000 Zr
0.3266 0.1633 0.5000 Zr
0.8367 0.6734 0.5000 Zr

=====

# 9
GGA-PBE PrInIrPd, optimized geometry; crystal system = hexagonal; space group = No. 187; uncorrected energy = -23.83 eV per formula unit; calculated density = 10.743 g/cm³
1.0
-3.9561 -0.3701 -2.3862
2.4027 -3.8054 1.1080
-4.6993 -0.6684 7.8946
In Ir Pd Pr
2 2 2 2
Direct
0.0000 0.0000 0.2574 In
0.0000 0.0000 0.7426 In
0.6667 0.3333 0.3390 Ir
0.6667 0.3333 0.6610 Ir
0.3333 0.6667 0.1622 Pd
0.3333 0.6667 0.8378 Pd
0.6667 0.3333 0.0000 Pr
0.3333 0.6667 0.5000 Pr

=====

# 10
GGA-PBE NdInNi2, optimized geometry; crystal system = orthorhombic; space group = No. 51; uncorrected energy = -20.30 eV per formula unit; calculated density = 8.230 g/cm³
1.0
5.2080 0.0000 0.0000
0.0000 4.0939 0.0000
0.0000 0.0000 7.1253
In Nd Ni
2 2 4
Direct
0.7500 0.0000 0.3445 In
0.2500 0.0000 0.6555 In
0.2500 0.5000 0.2761 Nd
0.7500 0.5000 0.7239 Nd
0.0000 0.0000 0.0000 Ni
0.5000 0.0000 0.0000 Ni
0.7500 0.5000 0.1075 Ni
0.2500 0.5000 0.8925 Ni

=====

# 11
GGA-PBE NbSiB4, optimized geometry; crystal system = orthorhombic; space group = No. 71; ΔE to the lowest computed polymorph = 0.0033 eV per atom; calculated density = 4.986 g/cm³
1.0
-1.2970 -4.2659 -1.1832
-2.8792 -0.7236 3.5309
0.5540 2.5371 -3.8126
B Nb Si
4 1 1
Direct
0.5769 0.2387 0.3381 B
0.0994 0.7613 0.3381 B
0.9006 0.2387 0.6619 B
0.4231 0.7613 0.6619 B
0.0000 0.0000 0.0000 Nb
0.5000 0.5000 0.0000 Si

=====

# 12
GGA-PBE LiTaAgSeS2, optimized geometry; crystal system = orthorhombic; space group = No. 63; uncorrected energy = -31.87 eV per formula unit; calculated density = 6.349 g/cm³
1.0
1.7529 -6.4758 0.0000
1.7529 6.4758 0.0000
0.0000 0.0000 10.1107
Ag Li S Se Ta
2 2 4 2 2
Direct
0.4368 0.5632 0.2500 Ag
0.5632 0.4368 0.7500 Ag
0.7536 0.2464 0.2500 Li
0.2464 0.7536 0.7500 Li
0.3645 0.6355 0.0318 S
0.3645 0.6355 0.4682 S
0.6355 0.3645 0.5318 S
0.6355 0.3645 0.9682 S
0.0968 0.9032 0.2500 Se
0.9032 0.0968 0.7500 Se
0.0000 0.0000 0.0000 Ta
0.0000 0.0000 0.5000 Ta

=====

# 13
GGA-PBE Cu2Ag3, optimized geometry; crystal system = monoclinic; space group = No. 12; energy relative to the elements = 0.0751 eV/atom; ΔE to the lowest computed polymorph = 0.0428 eV per atom; calculated density = 9.625 g/cm³
1.0
9.6591 -1.4307 0.0000
9.6591 1.4307 0.0000
-0.8518 0.0000 5.6270
Ag Cu
6 4
Direct
0.6945 0.6945 0.1031 Ag
0.9105 0.9105 0.2041 Ag
0.3072 0.3072 0.4105 Ag
0.6928 0.6928 0.5895 Ag
0.0895 0.0895 0.7959 Ag
0.3055 0.3055 0.8969 Ag
0.5000 0.5000 0.0000 Cu
0.0858 0.0858 0.2927 Cu
0.5000 0.5000 0.5000 Cu
0.9142 0.9142 0.7073 Cu

=====

# 14
GGA-PBE Sc2Ni7, optimized geometry; crystal system = hexagonal; space group = No. 194; energy relative to the elements = -0.3942 eV/atom; calculated density = 7.118 g/cm³
1.0
4.7782 0.0000 0.0000
-2.3891 4.1379 0.0000
0.0000 0.0000 23.6329
Ni Sc
28 8
Direct
0.0000 0.0000 0.0000 Ni
0.8319 0.6638 0.0828 Ni
0.8319 0.1681 0.0828 Ni
0.3362 0.1681 0.0828 Ni
0.0000 0.0000 0.1660 Ni
0.6667 0.3333 0.1662 Ni
0.8335 0.1665 0.2500 Ni
0.3330 0.1665 0.2500 Ni
0.8335 0.6670 0.2500 Ni
0.6667 0.3333 0.3338 Ni
0.0000 0.0000 0.3340 Ni
0.8319 0.1681 0.4172 Ni
0.3362 0.1681 0.4172 Ni
0.8319 0.6638 0.4172 Ni
0.0000 0.0000 0.5000 Ni
0.1681 0.3362 0.5828 Ni
0.6638 0.8319 0.5828 Ni
0.1681 0.8319 0.5828 Ni
0.0000 0.0000 0.6660 Ni
0.3333 0.6667 0.6662 Ni
0.1665 0.3330 0.7500 Ni
0.6670 0.8335 0.7500 Ni
0.1665 0.8335 0.7500 Ni
0.3333 0.6667 0.8338 Ni
0.0000 0.0000 0.8340 Ni
0.6638 0.8319 0.9172 Ni
0.1681 0.8319 0.9172 Ni
0.1681 0.3362 0.9172 Ni
0.3333 0.6667 0.0286 Sc
0.3333 0.6667 0.1745 Sc
0.3333 0.6667 0.3255 Sc
0.3333 0.6667 0.4714 Sc
0.6667 0.3333 0.5286 Sc
0.6667 0.3333 0.6745 Sc
0.6667 0.3333 0.8255 Sc
0.6667 0.3333 0.9714 Sc

=====

# 15
GGA-PBE RbSmSnTe3, optimized geometry; crystal system = orthorhombic; space group = No. 62; ΔE to the lowest computed polymorph = 0.0000 eV per atom; calculated density = 4.990 g/cm³
1.0
-3.3061 -16.8263 0.6719
4.3364 -0.8201 0.7984
-2.1343 0.9200 12.5375
Rb Sm Sn Te
4 4 4 12
Direct
0.7285 0.2500 0.0762 Rb
0.2285 0.2500 0.4238 Rb
0.7715 0.7500 0.5762 Rb
0.2715 0.7500 0.9238 Rb
0.9917 0.2500 0.1497 Sm
0.4917 0.2500 0.3503 Sm
0.5083 0.7500 0.6497 Sm
0.0083 0.7500 0.8503 Sm
0.4636 0.7500 0.0810 Sn
0.9636 0.7500 0.4190 Sn
0.0364 0.2500 0.5810 Sn
0.5364 0.2500 0.9190 Sn
0.8946 0.7500 0.0404 Te
0.3650 0.2500 0.1658 Te
0.5897 0.7500 0.2305 Te
0.0897 0.7500 0.2695 Te
0.8650 0.2500 0.3342 Te
0.3946 0.7500 0.4596 Te
0.6054 0.2500 0.5404 Te
0.1350 0.7500 0.6658 Te
0.9103 0.2500 0.7305 Te
0.4103 0.2500 0.7695 Te
0.6350 0.7500 0.8342 Te
0.1054 0.2500 0.9596 Te

=====

# 16
GGA-PBE ErAgAsO, optimized geometry; crystal system = tetragonal; space group = No. 129; ΔE to the lowest computed polymorph = 0.6475 eV per atom; calculated density = 7.935 g/cm³
1.0
5.6777 0.0000 0.0000
0.0000 5.6777 0.0000
0.0000 0.0000 4.7524
Ag As Er O
2 2 2 2
Direct
0.7500 0.7500 0.0015 Ag
0.2500 0.2500 0.9985 Ag
0.2500 0.2500 0.4985 As
0.7500 0.7500 0.5015 As
0.7500 0.2500 0.5000 Er
0.2500 0.7500 0.5000 Er
0.7500 0.2500 0.0000 O
0.2500 0.7500 0.0000 O

=====

# 17
GGA-PBE SmLuTlS3, optimized geometry; crystal system = orthorhombic; space group = No. 63; uncorrected energy = -32.28 eV per formula unit; calculated density = 6.120 g/cm³
1.0
3.3489 6.5334 0.5991
-6.2486 -3.5360 -1.6463
-3.1964 0.6550 10.7257
Lu S Sm Tl
2 6 2 2
Direct
0.4566 0.5434 0.2500 Lu
0.5434 0.4566 0.7500 Lu
0.3715 0.6285 0.0512 S
0.0564 0.9436 0.2500 S
0.3715 0.6285 0.4488 S
0.6285 0.3715 0.5512 S
0.9436 0.0564 0.7500 S
0.6285 0.3715 0.9488 S
0.0000 0.0000 0.0000 Sm
0.0000 0.0000 0.5000 Sm
0.7422 0.2578 0.2500 Tl
0.2578 0.7422 0.7500 Tl

=====

# 18
GGA-PBE CdAg2B, optimized geometry; crystal system = cubic; space group = No. 216; uncorrected energy = -10.06 eV per formula unit; calculated density = 8.534 g/cm³
1.0
-1.4990 -2.3754 3.5607
-4.3271 -1.3475 0.1676
-1.0273 -4.3918 -0.4741
Ag B Cd
2 1 1
Direct
0.0000 0.0000 0.0000 Ag
0.7500 0.7500 0.7500 Ag
0.5000 0.5000 0.5000 B
0.2500 0.2500 0.2500 Cd

=====

# 19
GGA-PBE RbNdCdTe3, optimized geometry; crystal system = orthorhombic; space group = No. 62; uncorrected energy = -22.59 eV per formula unit; calculated density = 5.314 g/cm³
1.0
12.0862 0.0000 0.0000
0.0000 4.6011 0.0000
0.0000 0.0000 16.2948
Cd Nd Rb Te
4 4 4 12
Direct
0.7442 0.2500 0.2131 Cd
0.2442 0.2500 0.2869 Cd
0.7558 0.7500 0.7131 Cd
0.2558 0.7500 0.7869 Cd
0.9932 0.7500 0.2485 Nd
0.4932 0.7500 0.2515 Nd
0.5068 0.2500 0.7485 Nd
0.0068 0.2500 0.7515 Nd
0.7418 0.7500 0.0017 Rb
0.2418 0.7500 0.4983 Rb
0.7582 0.2500 0.5017 Rb
0.2582 0.2500 0.9983 Rb
0.9394 0.2500 0.1177 Te
0.5468 0.2500 0.1204 Te
0.2438 0.7500 0.1779 Te
0.7438 0.7500 0.3221 Te
0.0468 0.2500 0.3796 Te
0.4394 0.2500 0.3823 Te
0.5606 0.7500 0.6177 Te
0.9532 0.7500 0.6204 Te
0.2562 0.2500 0.6779 Te
0.7562 0.2500 0.8221 Te
0.4532 0.7500 0.8796 Te
0.0606 0.7500 0.8823 Te

=====

# 20
GGA-PBE Dy2Ho2BBr3Cl2, optimized geometry; crystal system = monoclinic; space group = No. 12; uncorrected energy = -48.78 eV per formula unit; calculated density = 6.093 g/cm³
1.0
1.3033 7.7015 -4.2317
-2.4688 7.0474 -4.8123
-1.5867 2.3997 7.6053
B Br Cl Dy Ho
1 3 2 2 2
Direct
0.5000 0.5000 0.0000 B
0.1689 0.1689 0.3406 Br
0.5000 0.5000 0.5000 Br
0.8311 0.8311 0.6594 Br
0.8291 0.8291 0.1531 Cl
0.1709 0.1709 0.8469 Cl
0.6466 0.6466 0.0750 Dy
0.3534 0.3534 0.9250 Dy
0.9983 0.9983 0.2065 Ho
0.0017 0.0017 0.7935 Ho